Compound: CeZnInGa
Source: Alexandria via LeMat-Bulk
Functional: PBE
Structure: optimized geometry

Calculated values
Spin magnetization in μB per formula unit: 0.0
DFT formation energy in eV/atom: -0.326
Symmetry: F-43m

abc: 4.953 4.953 4.953
angles: 60.00 60.00 60.00
Sites, in units of the cell vectors:
Ga (0.500, 0.500, 0.500)
In (0.750, 0.750, 0.750)
Zn (0.000, 0.000, 0.000)
Ce (0.250, 0.250, 0.250)